No. 1
Mg3CoO: relaxed, PBE with a Hubbard U.

abc: 4.609 4.609 4.609
angles: 90.00 90.00 90.00
Fractional positions:
Mg (0.000, 0.000, 0.500)
Mg (0.000, 0.500, 0.000)
Mg (0.500, 0.000, 0.000)
Co (0.000, 0.000, 0.000)
O (0.500, 0.500, 0.500)

Results
- polymorph energy (0 for the lowest one) (meV per atom) = 1469
- space-group type = No. 221

***

No. 2
Mg2Co3O8: relaxed, PBE with a Hubbard U.

abc: 5.785 5.785 4.807
angles: 106.94 106.94 58.55
Fractional positions:
Mg (0.226, 0.226, 0.157)
Mg (0.774, 0.774, 0.843)
Co (0.242, 0.758, 0.500)
Co (0.500, 0.500, 0.000)
Co (0.758, 0.242, 0.500)
O (0.102, 0.102, 0.425)
O (0.162, 0.614, 0.099)
O (0.386, 0.838, 0.901)
O (0.395, 0.395, 0.587)
O (0.605, 0.605, 0.413)
O (0.614, 0.162, 0.099)
O (0.838, 0.386, 0.901)
O (0.898, 0.898, 0.575)

Results
- polymorph energy (0 for the lowest one) (meV per atom) = 28
- space-group type = No. 12

***

No. 3
MgCoO3: relaxed, PBE with a Hubbard U.

abc: 3.652 3.652 3.652
angles: 90.00 90.00 90.00
Fractional positions:
Mg (0.000, 0.000, 0.000)
Co (0.500, 0.500, 0.500)
O (0.000, 0.500, 0.500)
O (0.500, 0.000, 0.500)
O (0.500, 0.500, 0.000)

Results
- space-group type = No. 221
- E_tot (eV per atom) = -5.31

***

No. 4
MgCoO2: relaxed, PBE with a Hubbard U.

abc: 5.676 5.676 5.676
angles: 132.16 132.16 69.98
Fractional positions:
Mg (0.000, 0.000, 0.000)
Mg (0.750, 0.250, 0.500)
Co (0.250, 0.750, 0.500)
Co (0.500, 0.500, 0.000)
O (0.122, 0.625, 0.997)
O (0.375, 0.372, 0.497)
O (0.628, 0.125, 0.003)
O (0.875, 0.878, 0.503)

Results
- space-group type = No. 122
- E_tot (eV per atom) = -5.93

***

No. 5
MgCoO3: relaxed, PBE with a Hubbard U.

abc: 5.158 7.187 4.907
angles: 90.00 90.00 90.00
Fractional positions:
Mg (0.071, 0.250, 0.022)
Mg (0.429, 0.750, 0.522)
Mg (0.571, 0.250, 0.478)
Mg (0.929, 0.750, 0.978)
Co (0.000, 0.000, 0.500)
Co (0.000, 0.500, 0.500)
Co (0.500, 0.000, 0.000)
Co (0.500, 0.500, 0.000)
O (0.052, 0.750, 0.372)
O (0.191, 0.567, 0.809)
O (0.191, 0.933, 0.809)
O (0.309, 0.067, 0.309)
O (0.309, 0.433, 0.309)
O (0.448, 0.250, 0.872)
O (0.552, 0.750, 0.128)
O (0.691, 0.567, 0.691)
O (0.691, 0.933, 0.691)
O (0.809, 0.067, 0.191)
O (0.809, 0.433, 0.191)
O (0.948, 0.250, 0.628)

Results
- space-group type = No. 62
- E_tot (eV per atom) = -5.76

***

No. 6
MgCoO2: relaxed, PBE with a Hubbard U.

abc: 3.001 8.236 8.278
angles: 89.30 89.91 79.53
Fractional positions:
Mg (0.066, 0.369, 0.256)
Mg (0.134, 0.233, 0.925)
Mg (0.866, 0.767, 0.075)
Mg (0.934, 0.631, 0.744)
Co (0.289, 0.924, 0.753)
Co (0.389, 0.720, 0.375)
Co (0.611, 0.280, 0.625)
Co (0.711, 0.076, 0.247)
O (0.056, 0.391, 0.737)
O (0.291, 0.917, 0.207)
O (0.381, 0.739, 0.604)
O (0.387, 0.726, 0.914)
O (0.613, 0.274, 0.086)
O (0.619, 0.261, 0.396)
O (0.709, 0.083, 0.793)
O (0.944, 0.609, 0.263)

Results
- space-group type = No. 2
- E_tot (eV per atom) = -5.85

***

No. 7
MgCoO3: relaxed, PBE with a Hubbard U.

abc: 3.770 3.770 3.770
angles: 90.00 90.00 90.00
Fractional positions:
Mg (0.000, 0.000, 0.000)
Co (0.500, 0.500, 0.500)
O (0.000, 0.000, 0.500)
O (0.000, 0.500, 0.000)
O (0.500, 0.000, 0.000)

Results
- space-group type = No. 221
- E_tot (eV per atom) = -4.57

***

No. 8
Mg3Co5O12: relaxed, PBE with a Hubbard U.

abc: 10.257 10.257 10.257
angles: 109.47 109.47 109.47
Fractional positions:
Mg (0.125, 0.250, 0.375)
Mg (0.125, 0.375, 0.750)
Mg (0.250, 0.375, 0.125)
Mg (0.250, 0.875, 0.625)
Mg (0.375, 0.125, 0.250)
Mg (0.375, 0.750, 0.125)
Mg (0.625, 0.250, 0.875)
Mg (0.625, 0.875, 0.750)
Mg (0.750, 0.125, 0.375)
Mg (0.750, 0.625, 0.875)
Mg (0.875, 0.625, 0.250)
Mg (0.875, 0.750, 0.625)
Co (0.000, 0.000, 0.000)
Co (0.000, 0.000, 0.500)
Co (0.000, 0.500, 0.000)
Co (0.000, 0.500, 0.500)
Co (0.125, 0.750, 0.875)
Co (0.125, 0.875, 0.250)
Co (0.250, 0.125, 0.875)
Co (0.250, 0.625, 0.375)
Co (0.375, 0.250, 0.625)
Co (0.375, 0.625, 0.750)
Co (0.500, 0.000, 0.000)
Co (0.500, 0.000, 0.500)
Co (0.500, 0.500, 0.000)
Co (0.500, 0.500, 0.500)
Co (0.625, 0.375, 0.250)
Co (0.625, 0.750, 0.375)
Co (0.750, 0.375, 0.625)
Co (0.750, 0.875, 0.125)
Co (0.875, 0.125, 0.750)
Co (0.875, 0.250, 0.125)
O (0.029, 0.204, 0.122)
O (0.029, 0.325, 0.907)
O (0.081, 0.704, 0.675)
O (0.081, 0.878, 0.407)
O (0.093, 0.622, 0.419)
O (0.093, 0.971, 0.675)
O (0.122, 0.029, 0.204)
O (0.122, 0.593, 0.919)
O (0.175, 0.204, 0.581)
O (0.175, 0.471, 0.593)
O (0.204, 0.122, 0.029)
O (0.204, 0.581, 0.175)
O (0.296, 0.325, 0.919)
O (0.296, 0.471, 0.378)
O (0.325, 0.907, 0.029)
O (0.325, 0.919, 0.296)
O (0.378, 0.296, 0.471)
O (0.378, 0.581, 0.907)
O (0.407, 0.081, 0.878)
O (0.407, 0.825, 0.529)
O (0.419, 0.093, 0.622)
O (0.419, 0.825, 0.796)
O (0.471, 0.378, 0.296)
O (0.471, 0.593, 0.175)
O (0.529, 0.407, 0.825)
O (0.529, 0.622, 0.704)
O (0.581, 0.175, 0.204)
O (0.581, 0.907, 0.378)
O (0.593, 0.175, 0.471)
O (0.593, 0.919, 0.122)
O (0.622, 0.419, 0.093)
O (0.622, 0.704, 0.529)
O (0.675, 0.081, 0.704)
O (0.675, 0.093, 0.971)
O (0.704, 0.529, 0.622)
O (0.704, 0.675, 0.081)
O (0.796, 0.419, 0.825)
O (0.796, 0.878, 0.971)
O (0.825, 0.529, 0.407)
O (0.825, 0.796, 0.419)
O (0.878, 0.407, 0.081)
O (0.878, 0.971, 0.796)
O (0.907, 0.029, 0.325)
O (0.907, 0.378, 0.581)
O (0.919, 0.122, 0.593)
O (0.919, 0.296, 0.325)
O (0.971, 0.675, 0.093)
O (0.971, 0.796, 0.878)

Results
- space-group type = No. 230
- E_tot (eV per atom) = -5.74